## CrP2Cl (PBE)

Data for CrP2Cl after structural relaxation.

```
CrP2Cl
1.0
2.663 -0.013 0.000
-0.392 2.634 0.000
0.000 0.000 10.868
Cr P Cl
1 2 1
Cartesian
1.135 1.311 8.151
0.000 0.000 9.813
0.000 0.000 6.489
1.135 1.311 2.717
```

Values from the calculation:
Formation energy from raw total energies   0.154 eV per atom
Energy   -21.67 eV per formula unit
ΔE to the lowest computed polymorph   433 meV per atom